DFT (GGA-PBE) results for a geometry-optimized Pb3Cl structure.

It has space group Cmcm (No. 63), with a = 8.917 Å, b = 9.844 Å, c = 5.866 Å, α = 90.00°, β = 90.00° and γ = 90.00°. Symmetry generates all atoms from Pb at (0.000, 0.100, 0.250), Pb at (0.224, 0.169, 0.750) and Cl at (0.000, 0.379, 0.750).

Its calculated volume is 515 Å³/cell. Its raw total energy is -14.0 eV per formula unit. Its uncorrected formation energy is -0.26 eV per atom.

***

DFT (GGA-PBE) results for a geometry-optimized Pb3Cl structure.

It has space group I4/mmm (No. 139), with a = 5.473 Å, b = 5.473 Å, c = 15.724 Å, α = 90.00°, β = 90.00° and γ = 90.00°. Symmetry generates all atoms from Pb at (0.000, 0.000, 0.135), Pb at (0.000, 0.500, 0.000), Pb at (0.000, 0.500, 0.250) and Cl at (0.000, 0.000, 0.398).

Its calculated volume is 471 Å³/cell. Its raw total energy is -13.9 eV per formula unit. Its uncorrected formation energy is -0.24 eV per atom.